Entry w
# HoMgHg6 PBE-GGA relaxed
# Crystal system: trigonal
# Total moment, μB per formula unit: 0.0
# Calculated volume, Å³ per atom: 32.9
# Space-group type: R-3m
# DOS(E_F), states/eV/f.u.: 4.0
data_HoMgHg6
_symmetry_space_group_name_H-M 'P 1'
_symmetry_Int_Tables_number 1
_cell_length_a 6.290
_cell_length_b 6.290
_cell_length_c 8.503
_cell_angle_alpha 68.29
_cell_angle_beta 68.29
_cell_angle_gamma 60.00
loop_
_symmetry_equiv_pos_as_xyz
'x,y,z'
loop_
_atom_site_label
_atom_site_type_symbol
_atom_site_fract_x
_atom_site_fract_y
_atom_site_fract_z
Ho1 Ho 0.000 0.000 0.000
Mg1 Mg 0.500 0.500 0.500
Hg1 Hg 0.070 0.070 0.306
Hg2 Hg 0.070 0.554 0.306
Hg3 Hg 0.446 0.930 0.694
Hg4 Hg 0.930 0.446 0.694
Hg5 Hg 0.930 0.930 0.694
Hg6 Hg 0.554 0.070 0.306

***

Entry x
# HoMgHg6 PBE-GGA relaxed
# Crystal system: orthorhombic
# Total moment, μB per formula unit: 0.0
# Calculated volume, Å³ per atom: 23.6
# Space-group type: Amm2
# DOS(E_F), states/eV/f.u.: 2.3
data_HoMgHg6
_symmetry_space_group_name_H-M 'P 1'
_symmetry_Int_Tables_number 1
_cell_length_a 4.953
_cell_length_b 6.481
_cell_length_c 6.481
_cell_angle_alpha 114.91
_cell_angle_beta 90.00
_cell_angle_gamma 90.00
loop_
_symmetry_equiv_pos_as_xyz
'x,y,z'
loop_
_atom_site_label
_atom_site_type_symbol
_atom_site_fract_x
_atom_site_fract_y
_atom_site_fract_z
Ho1 Ho 0.000 0.109 0.891
Mg1 Mg 0.500 0.385 0.615
Hg1 Hg 0.000 0.087 0.394
Hg2 Hg 0.000 0.606 0.913
Hg3 Hg 0.000 0.577 0.423
Hg4 Hg 0.500 0.424 0.110
Hg5 Hg 0.500 0.890 0.576
Hg6 Hg 0.500 0.922 0.078

***

Stability check: which of them is least stable? entry w.